i:
{"formula": "HgHPt", "functional": "PBE-GGA", "state": "relaxed", "vol_a3_per_atom": 16.5, "lattice_angstrom": [[7.1533, -2.6769, 0.0000], [7.1533, 2.6769, 0.0000], [-6.1176, 0.0000, 7.7519]], "species": ["Hg", "Hg", "Hg", "Hg", "Hg", "Hg", "H", "H", "H", "H", "H", "H", "Pt", "Pt", "Pt", "Pt", "Pt", "Pt"], "frac_coords": [[0.0902, 0.9098, 0.5000], [0.3273, 0.8768, 0.8701], [0.6161, 0.9297, 0.4906], [0.8768, 0.3273, 0.3701], [0.9098, 0.0902, 0.0000], [0.9297, 0.6161, 0.9906], [0.1135, 0.5122, 0.7044], [0.2072, 0.4243, 0.3694], [0.4243, 0.2072, 0.8694], [0.4572, 0.6615, 0.1301], [0.5122, 0.1135, 0.2044], [0.6615, 0.4572, 0.6301], [0.1903, 0.4950, 0.5619], [0.2939, 0.7521, 0.2542], [0.3446, 0.5279, 0.9106], [0.4950, 0.1903, 0.0619], [0.5279, 0.3446, 0.4106], [0.7521, 0.2939, 0.7542]]}



ii:
{"formula": "HgHPt", "functional": "PBE-GGA", "state": "relaxed", "vol_a3_per_atom": 14.8, "lattice_angstrom": [[2.9136, 0.0000, 0.0000], [-1.3986, 5.3082, 0.0000], [-0.0930, -0.7848, 5.7427]], "species": ["Hg", "Hg", "H", "H", "Pt", "Pt"], "frac_coords": [[0.0000, 0.0000, 0.0000], [0.3266, 0.6582, 0.4902], [0.2883, 0.5454, 0.0340], [0.5864, 0.1746, 0.3632], [0.0684, 0.1263, 0.5133], [0.7408, 0.4550, 0.8739]]}



From most stable to least stable, the computed energies give i, ii.



i:
{"formula": "HgHPt", "functional": "PBE-GGA", "state": "relaxed", "vol_a3_per_atom": 13.7, "lattice_angstrom": [[3.1960, 0.0000, 0.0000], [-1.5980, 2.7678, 0.0000], [0.0000, 0.0000, 4.6459]], "species": ["Hg", "H", "Pt"], "frac_coords": [[0.0000, 0.0000, 0.0000], [0.3333, 0.6667, 0.5000], [0.6667, 0.3333, 0.5000]]}



ii:
{"formula": "HgHPt", "functional": "PBE-GGA", "state": "relaxed", "vol_a3_per_atom": 14.9, "lattice_angstrom": [[5.3230, -1.5645, 0.0000], [5.3230, 1.5645, 0.0000], [-0.9698, 0.0000, 5.3628]], "species": ["Hg", "Hg", "H", "H", "Pt", "Pt"], "frac_coords": [[0.1110, 0.1110, 0.2956], [0.8890, 0.8890, 0.7044], [0.4044, 0.4044, 0.2360], [0.5956, 0.5956, 0.7640], [0.1660, 0.1660, 0.8122], [0.8340, 0.8340, 0.1878]]}



From most stable to least stable, the computed energies give ii, i.



i:
{"formula": "HgH2Pt2", "functional": "PBE-GGA", "state": "relaxed", "vol_a3_per_atom": 13.1, "lattice_angstrom": [[-2.7398, 2.7398, 4.3653], [2.7398, -2.7398, 4.3653], [2.7398, 2.7398, -4.3653]], "species": ["Hg", "Hg", "H", "H", "H", "H", "Pt", "Pt", "Pt", "Pt"], "frac_coords": [[0.0000, 0.0000, 0.0000], [0.7500, 0.2500, 0.5000], [0.0545, 0.7606, 0.2939], [0.4667, 0.7606, 0.7061], [0.5106, 0.3045, 0.7939], [0.5106, 0.7167, 0.2061], [0.2868, 0.5415, 0.7453], [0.2915, 0.0462, 0.7547], [0.2915, 0.5368, 0.2453], [0.7962, 0.5415, 0.2547]]}



ii:
{"formula": "HgH2Pt2", "functional": "PBE-GGA", "state": "relaxed", "vol_a3_per_atom": 13.4, "lattice_angstrom": [[2.9828, -4.7364, 0.0000], [2.9828, 4.7364, 0.0000], [-2.9233, 0.0000, 4.7257]], "species": ["Hg", "Hg", "H", "H", "H", "H", "Pt", "Pt", "Pt", "Pt"], "frac_coords": [[0.1159, 0.8841, 0.7500], [0.8841, 0.1159, 0.2500], [0.1624, 0.4322, 0.7908], [0.4322, 0.1624, 0.2908], [0.5678, 0.8376, 0.7092], [0.8376, 0.5678, 0.2092], [0.0000, 0.5000, 0.0000], [0.5000, 0.0000, 0.5000], [0.5000, 0.5000, 0.0000], [0.5000, 0.5000, 0.5000]]}



iii:
{"formula": "HgH2Pt2", "functional": "PBE-GGA", "state": "relaxed", "vol_a3_per_atom": 11.8, "lattice_angstrom": [[-1.7057, 1.7057, 5.0630], [1.7057, -1.7057, 5.0630], [1.7057, 1.7057, -5.0630]], "species": ["Hg", "H", "H", "Pt", "Pt"], "frac_coords": [[0.0000, 0.0000, 0.0000], [0.2500, 0.7500, 0.5000], [0.7500, 0.2500, 0.5000], [0.3428, 0.3428, 0.0000], [0.6572, 0.6572, 0.0000]]}



iv:
{"formula": "HgH2Pt2", "functional": "PBE-GGA", "state": "relaxed", "vol_a3_per_atom": 14.4, "lattice_angstrom": [[7.0263, 0.0000, 0.0000], [0.0000, 7.0263, 0.0000], [0.0000, 0.0000, 2.9149]], "species": ["Hg", "Hg", "H", "H", "H", "H", "Pt", "Pt", "Pt", "Pt"], "frac_coords": [[0.0000, 0.0000, 0.0000], [0.5000, 0.5000, 0.0000], [0.2243, 0.2757, 0.5000], [0.2757, 0.7757, 0.5000], [0.7243, 0.2243, 0.5000], [0.7757, 0.7243, 0.5000], [0.1344, 0.3656, 0.0000], [0.3656, 0.8656, 0.0000], [0.6344, 0.1344, 0.0000], [0.8656, 0.6344, 0.0000]]}



From most stable to least stable, the computed energies give i, ii, iii, iv.



i:
{"formula": "HgH3Pt", "functional": "PBE-GGA", "state": "relaxed", "vol_a3_per_atom": 10.3, "lattice_angstrom": [[3.7158, 0.0000, 0.0000], [0.0000, 3.7158, 0.0000], [0.0000, 0.0000, 3.7158]], "species": ["Hg", "H", "H", "H", "Pt"], "frac_coords": [[0.0000, 0.0000, 0.0000], [0.0000, 0.5000, 0.5000], [0.5000, 0.0000, 0.5000], [0.5000, 0.5000, 0.0000], [0.5000, 0.5000, 0.5000]]}



ii:
{"formula": "HgH3Pt", "functional": "PBE-GGA", "state": "relaxed", "vol_a3_per_atom": 10.8, "lattice_angstrom": [[3.7748, 0.0000, 0.0000], [0.0000, 3.7748, 0.0000], [0.0000, 0.0000, 3.7748]], "species": ["Hg", "H", "H", "H", "Pt"], "frac_coords": [[0.0000, 0.0000, 0.0000], [0.0000, 0.0000, 0.5000], [0.0000, 0.5000, 0.0000], [0.5000, 0.0000, 0.0000], [0.5000, 0.5000, 0.5000]]}



iii:
{"formula": "HgH3Pt", "functional": "PBE-GGA", "state": "relaxed", "vol_a3_per_atom": 16.7, "lattice_angstrom": [[4.9631, 0.0000, 0.0000], [1.1814, 5.4132, 0.0000], [1.8747, -0.1746, 6.2178]], "species": ["Hg", "Hg", "H", "H", "H", "H", "H", "H", "Pt", "Pt"], "frac_coords": [[0.0931, 0.3378, 0.1404], [0.9069, 0.6622, 0.8596], [0.0476, 0.8427, 0.3575], [0.4688, 0.0917, 0.7950], [0.4907, 0.8090, 0.5754], [0.5093, 0.1910, 0.4246], [0.5312, 0.9083, 0.2050], [0.9524, 0.1573, 0.6425], [0.2768, 0.0133, 0.4110], [0.7232, 0.9867, 0.5890]]}



From most stable to least stable, the computed energies give iii, i, ii.



i:
{"formula": "Hg3HPt", "functional": "PBE-GGA", "state": "relaxed", "vol_a3_per_atom": 30.2, "lattice_angstrom": [[5.3233, 0.0000, 0.0000], [0.0000, 5.3233, 0.0000], [0.0000, 0.0000, 5.3233]], "species": ["Hg", "Hg", "Hg", "H", "Pt"], "frac_coords": [[0.0000, 0.0000, 0.5000], [0.0000, 0.5000, 0.0000], [0.5000, 0.0000, 0.0000], [0.5000, 0.5000, 0.5000], [0.0000, 0.0000, 0.0000]]}



ii:
{"formula": "Hg3HPt", "functional": "PBE-GGA", "state": "relaxed", "vol_a3_per_atom": 17.1, "lattice_angstrom": [[4.4070, 0.0000, 0.0000], [0.0000, 4.4070, 0.0000], [0.0000, 0.0000, 4.4070]], "species": ["Hg", "Hg", "Hg", "H", "Pt"], "frac_coords": [[0.0000, 0.0000, 0.5000], [0.0000, 0.5000, 0.0000], [0.5000, 0.0000, 0.0000], [0.0000, 0.0000, 0.0000], [0.5000, 0.5000, 0.5000]]}



From most stable to least stable, the computed energies give i, ii.



i:
{"formula": "Rb2HgHPt", "functional": "PBE-GGA", "state": "relaxed", "vol_a3_per_atom": 30.2, "lattice_angstrom": [[6.5474, 0.0000, 0.0000], [0.0000, 6.5474, 0.0000], [0.0000, 0.0000, 3.5230]], "species": ["Rb", "Rb", "Hg", "H", "Pt"], "frac_coords": [[0.0000, 0.5000, 0.0000], [0.5000, 0.0000, 0.0000], [0.0000, 0.0000, 0.5000], [0.5000, 0.5000, 0.5000], [0.5000, 0.5000, 0.0000]]}



ii:
{"formula": "Rb2HgHPt", "functional": "PBE-GGA", "state": "relaxed", "vol_a3_per_atom": 28.1, "lattice_angstrom": [[6.3137, 0.0000, 0.0000], [0.0000, 6.3137, 0.0000], [0.0000, 0.0000, 3.5240]], "species": ["Rb", "Rb", "Hg", "H", "Pt"], "frac_coords": [[0.0000, 0.5000, 0.0000], [0.5000, 0.0000, 0.0000], [0.0000, 0.0000, 0.5000], [0.5000, 0.5000, 0.0000], [0.5000, 0.5000, 0.5000]]}



From most stable to least stable, the computed energies give ii, i.



i:
{"formula": "HgHPtRh2", "functional": "PBE-GGA", "state": "relaxed", "vol_a3_per_atom": 13.3, "lattice_angstrom": [[4.1011, 0.0000, 0.0000], [0.0000, 4.1011, 0.0000], [0.0000, 0.0000, 3.9680]], "species": ["Hg", "H", "Pt", "Rh", "Rh"], "frac_coords": [[0.0000, 0.0000, 0.0000], [0.5000, 0.5000, 0.5000], [0.5000, 0.5000, 0.0000], [0.0000, 0.5000, 0.5000], [0.5000, 0.0000, 0.5000]]}



ii:
{"formula": "HgHPtRh2", "functional": "PBE-GGA", "state": "relaxed", "vol_a3_per_atom": 13.4, "lattice_angstrom": [[3.9429, 0.0000, 0.0000], [0.0000, 3.9429, 0.0000], [0.0000, 0.0000, 4.3202]], "species": ["Hg", "H", "Pt", "Rh", "Rh"], "frac_coords": [[0.0000, 0.0000, 0.0000], [0.0000, 0.0000, 0.5000], [0.5000, 0.5000, 0.0000], [0.0000, 0.5000, 0.5000], [0.5000, 0.0000, 0.5000]]}



From most stable to least stable, the computed energies give i, ii.



i:
{"formula": "Tl2HgHPt", "functional": "PBE-GGA", "state": "relaxed", "vol_a3_per_atom": 22.0, "lattice_angstrom": [[5.6036, 0.0000, 0.0000], [0.0000, 5.6036, 0.0000], [0.0000, 0.0000, 3.5107]], "species": ["Tl", "Tl", "Hg", "H", "Pt"], "frac_coords": [[0.0000, 0.5000, 0.0000], [0.5000, 0.0000, 0.0000], [0.0000, 0.0000, 0.5000], [0.5000, 0.5000, 0.5000], [0.5000, 0.5000, 0.0000]]}



ii:
{"formula": "Tl2HgHPt", "functional": "PBE-GGA", "state": "relaxed", "vol_a3_per_atom": 21.1, "lattice_angstrom": [[5.5158, 0.0000, 0.0000], [0.0000, 5.5158, 0.0000], [0.0000, 0.0000, 3.4747]], "species": ["Tl", "Tl", "Hg", "H", "Pt"], "frac_coords": [[0.0000, 0.5000, 0.0000], [0.5000, 0.0000, 0.0000], [0.0000, 0.0000, 0.5000], [0.5000, 0.5000, 0.0000], [0.5000, 0.5000, 0.5000]]}



From most stable to least stable, the computed energies give i, ii.



i:
{"formula": "RbHg3H", "functional": "PBE-GGA", "state": "relaxed", "vol_a3_per_atom": 28.5, "lattice_angstrom": [[7.0653, 0.0000, 0.0000], [0.0000, 5.0986, 0.0000], [-0.3892, 0.0000, 7.9102]], "species": ["Rb", "Rb", "Hg", "Hg", "Hg", "Hg", "Hg", "Hg", "H", "H"], "frac_coords": [[0.1183, 0.2500, 0.2265], [0.8817, 0.7500, 0.7735], [0.2764, 0.2500, 0.7368], [0.3552, 0.7500, 0.5197], [0.3876, 0.7500, 0.9863], [0.6124, 0.2500, 0.0137], [0.6448, 0.2500, 0.4803], [0.7236, 0.7500, 0.2632], [0.1445, 0.7500, 0.0664], [0.8555, 0.2500, 0.9336]]}



ii:
{"formula": "RbHg3H", "functional": "PBE-GGA", "state": "relaxed", "vol_a3_per_atom": 28.5, "lattice_angstrom": [[5.2253, 0.0000, 0.0000], [0.0000, 5.2253, 0.0000], [0.0000, 0.0000, 5.2253]], "species": ["Rb", "Hg", "Hg", "Hg", "H"], "frac_coords": [[0.0000, 0.0000, 0.0000], [0.0000, 0.5000, 0.5000], [0.5000, 0.0000, 0.5000], [0.5000, 0.5000, 0.0000], [0.5000, 0.5000, 0.5000]]}



From most stable to least stable, the computed energies give i, ii.



i:
{"formula": "RbHgH", "functional": "PBE-GGA", "state": "relaxed", "vol_a3_per_atom": 29.3, "lattice_angstrom": [[7.3433, 0.0000, 0.0000], [0.0000, 7.2883, 0.0000], [-2.6483, 0.0000, 6.5655]], "species": ["Rb", "Rb", "Rb", "Rb", "Hg", "Hg", "Hg", "Hg", "H", "H", "H", "H"], "frac_coords": [[0.2358, 0.0984, 0.3018], [0.2358, 0.4016, 0.8018], [0.7642, 0.5984, 0.1982], [0.7642, 0.9016, 0.6982], [0.3089, 0.6082, 0.3294], [0.3089, 0.8918, 0.8294], [0.6911, 0.1082, 0.1706], [0.6911, 0.3918, 0.6706], [0.4992, 0.1819, 0.7012], [0.4992, 0.3181, 0.2012], [0.5008, 0.6819, 0.7988], [0.5008, 0.8181, 0.2988]]}



ii:
{"formula": "RbHgH", "functional": "PBE-GGA", "state": "relaxed", "vol_a3_per_atom": 33.8, "lattice_angstrom": [[-1.9705, 1.9705, 6.5228], [1.9705, -1.9705, 6.5228], [1.9705, 1.9705, -6.5228]], "species": ["Rb", "Hg", "H"], "frac_coords": [[0.0000, 0.0000, 0.0000], [0.2793, 0.2793, 0.0000], [0.4584, 0.4584, 0.0000]]}



iii:
{"formula": "RbHgH", "functional": "PBE-GGA", "state": "relaxed", "vol_a3_per_atom": 30.6, "lattice_angstrom": [[0.0000, 3.5785, 3.5785], [3.5785, 0.0000, 3.5785], [3.5785, 3.5785, 0.0000]], "species": ["Rb", "Hg", "H"], "frac_coords": [[0.0000, 0.0000, 0.0000], [0.5000, 0.5000, 0.5000], [0.2500, 0.2500, 0.2500]]}



iv:
{"formula": "RbHgH", "functional": "PBE-GGA", "state": "relaxed", "vol_a3_per_atom": 30.8, "lattice_angstrom": [[4.3420, 0.0000, 0.0000], [-2.1710, 3.7603, 0.0000], [0.0000, 0.0000, 5.6509]], "species": ["Rb", "Hg", "H"], "frac_coords": [[0.0000, 0.0000, 0.0000], [0.6667, 0.3333, 0.4943], [0.3333, 0.6667, 0.2136]]}



From most stable to least stable, the computed energies give i, ii, iv, iii.